Record 1
AlReAu2 | PBE | optimized geometry

Output
Energy of formation (eV per atom): 0.212
M_tot (μB per formula unit): 0.000

Lattice parameters (Å, degrees): 5.0898 5.0898 4.9421 103.88 103.88 31.76
Positions (direct):
Al: 0.0000 0.0000 0.0000
Re: 0.5000 0.5000 0.5000
Au: 0.2606 0.2606 0.7532
Au: 0.7394 0.7394 0.2468

=====

Record 2
Al2ReAu | PBE | optimized geometry

Output
Energy relative to the lowest polymorph listed for this composition (eV/atom): 0.144
Energy of formation (eV per atom): -0.112
M_tot (μB per formula unit): 0.000

Lattice parameters (Å, degrees): 5.1686 5.1686 5.1686 138.00 138.00 60.91
Positions (direct):
Al: 0.0000 0.0000 0.0000
Al: 0.7500 0.2500 0.5000
Re: 0.5000 0.5000 0.0000
Au: 0.2500 0.7500 0.5000

=====

Record 3
AlRe2Au | PBE | optimized geometry

Output
Energy of formation (eV per atom): 0.173
M_tot (μB per formula unit): 0.000

Lattice parameters (Å, degrees): 2.7720 2.7720 9.1019 90.00 90.00 115.41
Positions (direct):
Al: 0.0000 0.0000 0.0000
Re: 0.0000 0.0000 0.4743
Re: 0.5000 0.5000 0.2389
Au: 0.5000 0.5000 0.7550